A geometry-optimized MnZnH22C5N10Cl4O6 structure, computed with GGA+U.

Summary:
Fermi-level density of states ... 0.000 states/eV per cell
Calculated total energy ... -5.768 eV per atom
Symmetry ... P-1 (2)

abc: 7.825 12.390 13.807
angles: 108.89 103.15 102.08
Fractional positions:
Mn 0.029 0.225 0.249
Mn 0.971 0.775 0.751
Zn 0.444 0.721 0.300
Zn 0.556 0.279 0.700
H 0.030 0.787 0.387
H 0.037 0.543 0.773
H 0.062 0.379 0.940
H 0.113 0.140 0.554
H 0.153 0.017 0.744
H 0.158 0.795 0.092
H 0.161 0.848 0.988
H 0.193 0.084 0.367
H 0.206 0.470 0.778
H 0.226 0.461 0.069
H 0.226 0.734 0.620
H 0.229 0.711 0.488
H 0.270 0.167 0.829
H 0.273 0.120 0.070
H 0.280 0.459 0.392
H 0.293 0.372 0.453
H 0.343 0.223 0.016
H 0.356 0.005 0.371
H 0.459 0.303 0.241
H 0.460 0.904 0.807
H 0.464 0.998 0.738
H 0.488 0.554 0.764
H 0.512 0.446 0.236
H 0.536 0.002 0.262
H 0.540 0.096 0.193
H 0.541 0.697 0.759
H 0.644 0.995 0.629
H 0.657 0.777 0.984
H 0.707 0.628 0.547
H 0.720 0.541 0.608
H 0.727 0.880 0.930
H 0.730 0.833 0.171
H 0.771 0.289 0.512
H 0.774 0.266 0.380
H 0.774 0.539 0.931
H 0.794 0.530 0.222
H 0.807 0.916 0.633
H 0.839 0.152 0.012
H 0.842 0.205 0.908
H 0.847 0.983 0.256
H 0.887 0.860 0.446
H 0.938 0.621 0.060
H 0.963 0.457 0.227
H 0.970 0.213 0.613
C 0.035 0.312 0.057
C 0.057 0.806 0.545
C 0.213 0.050 0.904
C 0.278 0.632 0.762
C 0.341 0.089 0.264
C 0.659 0.911 0.736
C 0.722 0.368 0.238
C 0.787 0.950 0.096
C 0.943 0.194 0.455
C 0.965 0.688 0.943
N 0.012 0.180 0.547
N 0.115 0.781 0.012
N 0.117 0.389 0.018
N 0.161 0.538 0.766
N 0.183 0.748 0.551
N 0.211 0.082 0.820
N 0.288 0.052 0.337
N 0.298 0.135 0.005
N 0.451 0.629 0.766
N 0.467 0.046 0.223
N 0.533 0.954 0.777
N 0.549 0.371 0.234
N 0.702 0.865 0.995
N 0.712 0.948 0.663
N 0.789 0.918 0.180
N 0.817 0.252 0.449
N 0.839 0.462 0.234
N 0.883 0.611 0.982
N 0.885 0.219 0.988
N 0.988 0.820 0.453
Cl 0.141 0.714 0.241
Cl 0.378 0.084 0.609
Cl 0.460 0.376 0.838
Cl 0.465 0.629 0.422
Cl 0.535 0.371 0.578
Cl 0.540 0.624 0.162
Cl 0.622 0.916 0.391
Cl 0.859 0.286 0.759
O 0.005 0.850 0.627
O 0.099 0.329 0.156
O 0.142 0.941 0.891
O 0.210 0.384 0.395
O 0.229 0.722 0.755
O 0.272 0.160 0.230
O 0.728 0.840 0.770
O 0.771 0.278 0.245
O 0.790 0.616 0.605
O 0.858 0.059 0.109
O 0.901 0.671 0.844
O 0.995 0.150 0.373